No. 1
Al2FeSe (PBE-GGA, optimized geometry); electronic total energy = -4.687 eV per atom
1.0
-1.9193 1.9193 3.9653
1.9193 -1.9193 3.9653
1.9193 1.9193 -3.9653
Al Fe Se
2 1 1
Direct
0.2500 0.7500 0.5000
0.7500 0.2500 0.5000
0.0000 0.0000 0.0000
0.5000 0.5000 0.0000

No. 2
Al2FeSe (PBE-GGA, optimized geometry); electronic total energy = -4.863 eV per atom
1.0
1.4618 0.8440 9.5318
-1.4618 0.8440 9.5318
0.0000 -1.6880 9.5318
Al Fe Se
2 1 1
Direct
0.0000 0.0000 0.0000
0.2516 0.2516 0.2516
0.5161 0.5161 0.5161
0.7926 0.7926 0.7926

No. 3
AlFe2Se (PBE-GGA, optimized geometry); relative energy among the computed polymorphs = 83 meV per atom; electronic total energy = -5.989 eV per atom
1.0
4.2852 -1.5415 0.0000
4.2852 1.5415 0.0000
-1.1936 0.0000 4.0422
Al Fe Se
1 2 1
Direct
0.0000 0.0000 0.0000
0.5019 0.5019 0.4926
0.7412 0.7412 0.1509
0.2375 0.2375 0.6461

No. 4
Al3FeSe (PBE-GGA, optimized geometry); relative energy among the computed polymorphs = 811 meV per atom; electronic total energy = -3.620 eV per atom
1.0
4.8788 0.0000 0.0000
0.0000 4.8788 0.0000
0.0000 0.0000 4.8788
Al Fe Se
3 1 1
Direct
0.0000 0.0000 0.5000
0.0000 0.5000 0.0000
0.5000 0.0000 0.0000
0.5000 0.5000 0.5000
0.0000 0.0000 0.0000

The records above yield V values of 58, 71, 53, 116 Å³/f.u., respectively.
The records above yield total moment values of 0.1454, 0.3738, 0.8560, 0.5805 μB per atom, respectively.